No. 1
# Rb2NaH6Os (PBE-GGA, optimized geometry)
# Raw total energy, eV per atom: -3.602
# DOS at the Fermi energy, states/eV per cell: 7.00
# SG: No. 164
data_Rb2NaH6Os
_chemical_formula_sum 'Rb2 Na1 H6 Os1'
_symmetry_space_group_name_H-M 'P 1'
_symmetry_Int_Tables_number 1
_cell_length_a 5.728
_cell_length_b 6.055
_cell_length_c 6.055
_cell_angle_alpha 120.00
_cell_angle_beta 90.00
_cell_angle_gamma 90.00
loop_
_symmetry_equiv_pos_as_xyz
'x,y,z'
loop_
_atom_site_label
_atom_site_type_symbol
_atom_site_fract_x
_atom_site_fract_y
_atom_site_fract_z
Rb1 Rb 0.179 0.333 0.667
Rb2 Rb 0.821 0.667 0.333
Na1 Na 0.500 0.000 0.000
H1 H 0.823 0.135 0.270
H2 H 0.823 0.135 0.865
H3 H 0.823 0.730 0.865
H4 H 0.177 0.865 0.135
H5 H 0.177 0.270 0.135
H6 H 0.177 0.865 0.730
Os1 Os 0.000 0.000 0.000


No. 2
# NaSr2H6Os (PBE-GGA, optimized geometry)
# Raw total energy, eV per atom: -4.016
# DOS at the Fermi energy, states/eV per cell: 1.08
# SG: No. 164
data_NaSr2H6Os
_chemical_formula_sum 'Na1 Sr2 H6 Os1'
_symmetry_space_group_name_H-M 'P 1'
_symmetry_Int_Tables_number 1
_cell_length_a 6.384
_cell_length_b 5.278
_cell_length_c 5.278
_cell_angle_alpha 120.00
_cell_angle_beta 90.00
_cell_angle_gamma 90.00
loop_
_symmetry_equiv_pos_as_xyz
'x,y,z'
loop_
_atom_site_label
_atom_site_type_symbol
_atom_site_fract_x
_atom_site_fract_y
_atom_site_fract_z
Na1 Na 0.500 0.000 0.000
Sr1 Sr 0.170 0.333 0.667
Sr2 Sr 0.830 0.667 0.333
H1 H 0.842 0.154 0.309
H2 H 0.842 0.154 0.846
H3 H 0.842 0.691 0.846
H4 H 0.158 0.846 0.154
H5 H 0.158 0.309 0.154
H6 H 0.158 0.846 0.691
Os1 Os 0.000 0.000 0.000


No. 3
# Na2SrH8Os (PBE-GGA, optimized geometry)
# Raw total energy, eV per atom: -3.565
# DOS at the Fermi energy, states/eV per cell: 6.45
# SG: No. 164
data_Na2SrH8Os
_chemical_formula_sum 'Na2 Sr1 H8 Os1'
_symmetry_space_group_name_H-M 'P 1'
_symmetry_Int_Tables_number 1
_cell_length_a 4.956
_cell_length_b 4.956
_cell_length_c 6.705
_cell_angle_alpha 90.00
_cell_angle_beta 90.00
_cell_angle_gamma 120.00
loop_
_symmetry_equiv_pos_as_xyz
'x,y,z'
loop_
_atom_site_label
_atom_site_type_symbol
_atom_site_fract_x
_atom_site_fract_y
_atom_site_fract_z
Na1 Na 0.667 0.333 0.144
Na2 Na 0.333 0.667 0.856
Sr1 Sr 0.000 0.000 0.500
H1 H 0.842 0.683 0.842
H2 H 0.317 0.158 0.842
H3 H 0.842 0.158 0.842
H4 H 0.158 0.317 0.158
H5 H 0.683 0.842 0.158
H6 H 0.158 0.842 0.158
H7 H 0.667 0.333 0.485
H8 H 0.333 0.667 0.515
Os1 Os 0.000 0.000 0.000


No. 4
# NaTl2H6Os (PBE-GGA, optimized geometry)
# Raw total energy, eV per atom: -3.639
# DOS at the Fermi energy, states/eV per cell: 2.42
# SG: No. 164
data_NaTl2H6Os
_chemical_formula_sum 'Na1 Tl2 H6 Os1'
_symmetry_space_group_name_H-M 'P 1'
_symmetry_Int_Tables_number 1
_cell_length_a 5.846
_cell_length_b 5.309
_cell_length_c 5.309
_cell_angle_alpha 120.00
_cell_angle_beta 90.00
_cell_angle_gamma 90.00
loop_
_symmetry_equiv_pos_as_xyz
'x,y,z'
loop_
_atom_site_label
_atom_site_type_symbol
_atom_site_fract_x
_atom_site_fract_y
_atom_site_fract_z
Na1 Na 0.500 0.000 0.000
Tl1 Tl 0.202 0.333 0.667
Tl2 Tl 0.798 0.667 0.333
H1 H 0.831 0.154 0.308
H2 H 0.831 0.154 0.846
H3 H 0.831 0.692 0.846
H4 H 0.169 0.846 0.154
H5 H 0.169 0.308 0.154
H6 H 0.169 0.846 0.692
Os1 Os 0.000 0.000 0.000


No. 5
# NaTlHOs2 (PBE-GGA, optimized geometry)
# Raw total energy, eV per atom: -5.134
# DOS at the Fermi energy, states/eV per cell: 4.47
# SG: No. 123
data_NaTlHOs2
_chemical_formula_sum 'Na1 Tl1 H1 Os2'
_symmetry_space_group_name_H-M 'P 1'
_symmetry_Int_Tables_number 1
_cell_length_a 3.941
_cell_length_b 4.589
_cell_length_c 3.941
_cell_angle_alpha 90.00
_cell_angle_beta 90.00
_cell_angle_gamma 90.00
loop_
_symmetry_equiv_pos_as_xyz
'x,y,z'
loop_
_atom_site_label
_atom_site_type_symbol
_atom_site_fract_x
_atom_site_fract_y
_atom_site_fract_z
Na1 Na 0.000 0.500 0.000
Tl1 Tl 0.500 0.500 0.500
Os1 Os 0.000 0.000 0.500
Os2 Os 0.500 0.000 0.000
H1 H 0.000 0.000 0.000


No. 6
# Na2ZnHOs (PBE-GGA, optimized geometry)
# Raw total energy, eV per atom: -2.633
# DOS at the Fermi energy, states/eV per cell: 2.73
# SG: No. 123
data_Na2ZnHOs
_chemical_formula_sum 'Na2 Zn1 H1 Os1'
_symmetry_space_group_name_H-M 'P 1'
_symmetry_Int_Tables_number 1
_cell_length_a 5.614
_cell_length_b 2.971
_cell_length_c 5.614
_cell_angle_alpha 90.00
_cell_angle_beta 90.00
_cell_angle_gamma 90.00
loop_
_symmetry_equiv_pos_as_xyz
'x,y,z'
loop_
_atom_site_label
_atom_site_type_symbol
_atom_site_fract_x
_atom_site_fract_y
_atom_site_fract_z
Na1 Na 0.000 0.000 0.500
Na2 Na 0.500 0.000 0.000
Zn1 Zn 0.000 0.000 0.000
Os1 Os 0.500 0.500 0.500
H1 H 0.000 0.500 0.000


No. 7
# NaZn2H8Os (PBE-GGA, optimized geometry)
# Raw total energy, eV per atom: -3.400
# DOS at the Fermi energy, states/eV per cell: 6.31
# SG: No. 164
data_NaZn2H8Os
_chemical_formula_sum 'Na1 Zn2 H8 Os1'
_symmetry_space_group_name_H-M 'P 1'
_symmetry_Int_Tables_number 1
_cell_length_a 4.367
_cell_length_b 4.367
_cell_length_c 6.563
_cell_angle_alpha 90.00
_cell_angle_beta 90.00
_cell_angle_gamma 120.00
loop_
_symmetry_equiv_pos_as_xyz
'x,y,z'
loop_
_atom_site_label
_atom_site_type_symbol
_atom_site_fract_x
_atom_site_fract_y
_atom_site_fract_z
Na1 Na 0.000 0.000 0.500
Zn1 Zn 0.667 0.333 0.172
Zn2 Zn 0.333 0.667 0.828
H1 H 0.829 0.659 0.832
H2 H 0.341 0.171 0.832
H3 H 0.829 0.171 0.832
H4 H 0.171 0.341 0.168
H5 H 0.659 0.829 0.168
H6 H 0.171 0.829 0.168
H7 H 0.667 0.333 0.425
H8 H 0.333 0.667 0.575
Os1 Os 0.000 0.000 0.000


No. 8
# Na3PH (PBE-GGA, optimized geometry)
# DOS at the Fermi energy, states/eV per cell: 1.85
# Energy above the most stable polymorph in this dataset, meV per atom: 40.7
# SG: No. 221
data_Na3PH
_chemical_formula_sum 'Na3 P1 H1'
_symmetry_space_group_name_H-M 'P 1'
_symmetry_Int_Tables_number 1
_cell_length_a 4.526
_cell_length_b 4.526
_cell_length_c 4.526
_cell_angle_alpha 90.00
_cell_angle_beta 90.00
_cell_angle_gamma 90.00
loop_
_symmetry_equiv_pos_as_xyz
'x,y,z'
loop_
_atom_site_label
_atom_site_type_symbol
_atom_site_fract_x
_atom_site_fract_y
_atom_site_fract_z
P1 P 0.500 0.500 0.500
H1 H 0.000 0.000 0.000
Na1 Na 0.000 0.500 0.000
Na2 Na 0.000 0.000 0.500
Na3 Na 0.500 0.000 0.000


No. 9
# Na6PH2 (PBE-GGA, optimized geometry)
# Raw total energy, eV per atom: -2.361
# DOS at the Fermi energy, states/eV per cell: 2.33
# SG: No. 12
data_Na6PH2
_chemical_formula_sum 'Na6 P1 H2'
_symmetry_space_group_name_H-M 'P 1'
_symmetry_Int_Tables_number 1
_cell_length_a 4.894
_cell_length_b 6.539
_cell_length_c 7.603
_cell_angle_alpha 72.94
_cell_angle_beta 71.23
_cell_angle_gamma 68.03
loop_
_symmetry_equiv_pos_as_xyz
'x,y,z'
loop_
_atom_site_label
_atom_site_type_symbol
_atom_site_fract_x
_atom_site_fract_y
_atom_site_fract_z
Na1 Na 0.740 0.652 0.868
Na2 Na 0.260 0.348 0.132
Na3 Na 0.969 0.862 0.200
Na4 Na 0.358 0.721 0.564
Na5 Na 0.031 0.138 0.800
Na6 Na 0.642 0.279 0.436
P1 P 0.000 0.500 0.500
H1 H 0.173 0.740 0.913
H2 H 0.827 0.260 0.087


Number 1: spin magnetization 0.100 μB per atom. Number 2: spin magnetization 0.088 μB per atom. Number 3: spin magnetization 0.127 μB per atom. Number 4: spin magnetization 0.104 μB per atom. Number 5: spin magnetization 0.000 μB per atom. Number 6: spin magnetization 0.148 μB per atom. Number 7: spin magnetization 0.050 μB per atom. Number 8: spin magnetization 0.200 μB per atom. Number 9: spin magnetization 0.049 μB per atom.